# 1
Below is Ba2PuZrO6 after structural relaxation, with properties calculated at the PBE-GGA level.

abc: 4.3221 4.3221 8.7368
angles: 90.00 90.00 90.00
Positions (direct):
Ba 0.0000 0.0000 0.2392
Ba 0.0000 0.0000 0.7608
Pu 0.5000 0.5000 0.5000
Zr 0.5000 0.5000 0.0000
O 0.0000 0.5000 0.0000
O 0.0000 0.5000 0.5000
O 0.5000 0.0000 0.0000
O 0.5000 0.0000 0.5000
O 0.5000 0.5000 0.2407
O 0.5000 0.5000 0.7593

Results
The value obtained for the spin magnetization is 4.000 μB per formula unit. The value obtained for the density of states at the Fermi level is 4.39 states/eV per cell. The energy is -87.284 eV per formula unit. The value obtained for the raw formation energy is -3.08 eV/atom.


# 2
Below is CaTaMo2 after structural relaxation, with properties calculated at the PBE-GGA level.

abc: 5.5887 5.5887 2.6786
angles: 90.00 90.00 116.62
Positions (direct):
Ca 0.0000 0.0000 0.0000
Ta 0.5000 0.5000 0.0000
Mo 0.0000 0.5000 0.5000
Mo 0.5000 0.0000 0.5000

Results
The value obtained for the spin magnetization is 0.000 μB per formula unit. Its formation enthalpy at 0 K is 2.78 eV per formula unit. As for the offset from the most stable computed form: 0.267 eV per atom. The value obtained for the density of states at the Fermi level is 3.85 states/eV per cell. The energy is -32.740 eV per formula unit.


# 3
Below is La14SmTl after structural relaxation, with properties calculated at the PBE-GGA level.

abc: 7.3448 7.3448 10.4145
angles: 90.00 90.00 90.00
Positions (direct):
La 0.0000 0.0000 0.0000
La 0.0000 0.5000 0.0000
La 0.0000 0.5000 0.5000
La 0.2454 0.2454 0.2552
La 0.2454 0.2454 0.7448
La 0.2454 0.7546 0.2552
La 0.2454 0.7546 0.7448
La 0.5000 0.0000 0.0000
La 0.5000 0.0000 0.5000
La 0.5000 0.5000 0.0000
La 0.7546 0.2454 0.2552
La 0.7546 0.2454 0.7448
La 0.7546 0.7546 0.2552
La 0.7546 0.7546 0.7448
Sm 0.5000 0.5000 0.5000
Tl 0.0000 0.0000 0.5000

Results
The value obtained for the spin magnetization is 0.000 μB per formula unit. Its formation enthalpy at 0 K is -0.78 eV per formula unit. The value obtained for the density of states at the Fermi level is 20.75 states/eV per cell. The energy is -76.851 eV per formula unit.


# 4
Below is Ca3Ac3ScSe8 after structural relaxation, with properties calculated at the PBE-GGA level.

abc: 8.5805 8.5805 8.5805
angles: 60.46 60.46 60.46
Positions (direct):
Ca 0.0000 0.5000 0.5000
Ca 0.5000 0.0000 0.5000
Ca 0.5000 0.5000 0.0000
Ac 0.0000 0.0000 0.5000
Ac 0.0000 0.5000 0.0000
Ac 0.5000 0.0000 0.0000
Sc 0.5000 0.5000 0.5000
Se 0.2569 0.2569 0.2569
Se 0.2688 0.2688 0.7213
Se 0.2688 0.7213 0.2688
Se 0.2787 0.7312 0.7312
Se 0.7213 0.2688 0.2688
Se 0.7312 0.2787 0.7312
Se 0.7312 0.7312 0.2787
Se 0.7431 0.7431 0.7431

Results
The value obtained for the spin magnetization is 0.000 μB per formula unit. The value obtained for the density of states at the Fermi level is 5.64 states/eV per cell. The energy is -81.038 eV per formula unit. The value obtained for the raw formation energy is -1.90 eV/atom.


# 5
Below is NdGa3Pd after structural relaxation, with properties calculated at the PBE-GGA level.

abc: 5.9453 7.9282 4.7548
angles: 90.00 90.00 90.00
Positions (direct):
Nd 0.0000 0.0000 0.0000
Nd 0.5000 0.5000 0.0000
Ga 0.0000 0.5000 0.0000
Ga 0.2490 0.2494 0.5000
Ga 0.2510 0.7494 0.5000
Ga 0.5000 0.0000 0.0000
Ga 0.7490 0.2506 0.5000
Ga 0.7510 0.7506 0.5000
Pd 0.0000 0.5000 0.5000
Pd 0.5000 0.0000 0.5000

Results
The value obtained for the spin magnetization is 0.000 μB per formula unit. Its formation enthalpy at 0 K is -1.76 eV per formula unit. As for the offset from the most stable computed form: 0.354 eV per atom. The value obtained for the density of states at the Fermi level is 6.22 states/eV per cell. The energy is -20.804 eV per formula unit.


# 6
Below is CdInHg2 after structural relaxation, with properties calculated at the PBE-GGA level.

abc: 6.7829 6.7829 6.7829
angles: 151.57 132.78 56.04
Positions (direct):
Cd 0.0000 0.0000 0.0000
In 0.5000 0.5000 0.0000
Hg 0.2481 0.2481 0.0000
Hg 0.7519 0.7519 0.0000

Results
The value obtained for the spin magnetization is 0.000 μB per formula unit. Its formation enthalpy at 0 K is 0.12 eV per formula unit. The value obtained for the density of states at the Fermi level is 1.28 states/eV per cell. The energy is -4.139 eV per formula unit.